1.
Entry from the Alexandria database: TlCu2GeAs after structural relaxation (PBEsol).

Unit cell a=4.739 b=4.739 c=5.329 alpha=90.00 beta=90.00 gamma=90.00
Space group P4/mmm (No. 123)
Unique sites:
1 Tl 0.000 0.000 0.000 [1 per cell]
2 Cu 0.000 0.500 0.000 [2 per cell]
3 Ge 0.500 0.500 0.500 [1 per cell]
4 As 0.000 0.000 0.500 [1 per cell]

As for the formation energy: 1.14 eV/atom.

2.
Entry from the Alexandria database: Cr2InSnSe after structural relaxation (PBEsol).

Unit cell a=5.104 b=5.104 c=5.460 alpha=90.00 beta=90.00 gamma=90.00
Space group P4/mmm (No. 123)
Unique sites:
1 Cr 0.000 0.500 0.000 [2 per cell]
2 In 0.000 0.000 0.500 [1 per cell]
3 Sn 0.500 0.500 0.000 [1 per cell]
4 Se 0.500 0.500 0.500 [1 per cell]

For the raw formation energy, the calculation gives 1.0782 eV per atom.

3.
Entry from the Alexandria database: NbSb2F after structural relaxation (PBEsol).

Unit cell a=6.729 b=6.729 c=6.729 alpha=90.00 beta=90.00 gamma=90.00
Space group Fm-3m (No. 225)
Unique sites:
1 Nb 0.000 0.000 0.000 [4 per cell]
2 Sb 0.250 0.250 0.250 [8 per cell]
3 F 0.000 0.000 0.500 [4 per cell]

For the raw formation energy, the calculation gives -0.2961 eV per atom.

4.
Entry from the Alexandria database: HgPRu after structural relaxation (PBEsol).

Unit cell a=2.963 b=2.963 c=11.057 alpha=90.00 beta=90.00 gamma=90.00
Space group I4mm (No. 107)
Unique sites:
1 Hg 0.000 0.000 0.000 [2 per cell]
2 P 0.000 0.000 0.289 [2 per cell]
3 Ru 0.000 0.000 0.690 [2 per cell]

As for the formation energy: -0.06 eV/atom.

5.
Entry from the Alexandria database: TmAgP2Se6 after structural relaxation (PBEsol).

Unit cell a=6.4927 b=6.4927 c=13.4852 alpha=90.00 beta=90.00 gamma=120.00
Space group P-31c (No. 163)
Unique sites:
1 Tm 0.0000 0.0000 0.2500 [2 per cell]
2 Ag 0.3333 0.6667 0.2500 [2 per cell]
3 P 0.3333 0.6667 0.6663 [4 per cell]
4 Se 0.0145 0.3393 0.8827 [12 per cell]

For the raw formation energy, the calculation gives -0.5240 eV per atom.

6.
Entry from the Alexandria database: La3TaSi after structural relaxation (PBEsol).

Unit cell a=5.413 b=5.413 c=5.413 alpha=90.00 beta=90.00 gamma=90.00
Space group Pm-3m (No. 221)
Unique sites:
1 La 0.000 0.000 0.500 [3 per cell]
2 Ta 0.000 0.000 0.000 [1 per cell]
3 Si 0.500 0.500 0.500 [1 per cell]

For the raw formation energy, the calculation gives 0.5733 eV per atom.

7.
Entry from the Alexandria database: HoInPt2 after structural relaxation (PBEsol).

Unit cell a=4.5138 b=4.5138 c=8.8276 alpha=90.00 beta=90.00 gamma=120.00
Space group P6_3/mmc (No. 194)
Unique sites:
1 Ho 0.3333 0.6667 0.2500 [2 per cell]
2 In 0.0000 0.0000 0.0000 [2 per cell]
3 Pt 0.3333 0.6667 0.5912 [4 per cell]

As for the formation energy: -0.97 eV/atom.

8.
Entry from the Alexandria database: MnTlTc after structural relaxation (PBEsol).

Unit cell a=2.9438 b=2.9438 c=6.5460 alpha=90.00 beta=90.00 gamma=120.00
Space group P3m1 (No. 156)
Unique sites:
1 Mn 0.0000 0.0000 0.0000 [1 per cell]
2 Tl 0.3333 0.6667 0.3586 [1 per cell]
3 Tc 0.6667 0.3333 0.7306 [1 per cell]

As for the formation energy: 0.58 eV/atom.

9.
Entry from the Alexandria database: K2Zr2O5 after structural relaxation (PBEsol).

Unit cell a=5.829 b=10.766 c=8.699 alpha=90.00 beta=90.00 gamma=90.00
Space group Pnna (No. 52)
Unique sites:
1 K 0.064 0.167 0.076 [8 per cell]
2 Zr 0.032 0.076 0.660 [8 per cell]
3 O 0.009 0.750 0.250 [4 per cell]
4 O 0.127 0.607 0.949 [8 per cell]
5 O 0.250 0.000 0.243 [4 per cell]
6 O 0.250 0.000 0.825 [4 per cell]

For the raw formation energy, the calculation gives -2.8447 eV per atom.

10.
Entry from the Alexandria database: HfSc3Rh after structural relaxation (PBEsol).

Unit cell a=4.879 b=4.879 c=4.879 alpha=90.00 beta=90.00 gamma=90.00
Space group Pm-3m (No. 221)
Unique sites:
1 Hf 0.000 0.000 0.000 [1 per cell]
2 Sc 0.000 0.000 0.500 [3 per cell]
3 Rh 0.500 0.500 0.500 [1 per cell]

As for the formation energy: 1.12 eV/atom.

11.
Entry from the Alexandria database: NaZrN2O after structural relaxation (PBEsol).

Unit cell a=3.878 b=3.878 c=3.770 alpha=90.00 beta=90.00 gamma=90.00
Space group P4/mmm (No. 123)
Unique sites:
1 Na 0.000 0.000 0.000 [1 per cell]
2 Zr 0.500 0.500 0.500 [1 per cell]
3 N 0.000 0.500 0.000 [2 per cell]
4 O 0.000 0.000 0.500 [1 per cell]

For the raw formation energy, the calculation gives 0.7574 eV per atom.

12.
Entry from the Alexandria database: Ba2LiAg after structural relaxation (PBEsol).

Unit cell a=4.814 b=4.811 c=12.713 alpha=90.00 beta=90.00 gamma=90.00
Space group Amm2 (No. 38)
Unique sites:
1 Ba 0.000 0.000 0.000 [2 per cell]
2 Ba 0.500 0.000 0.285 [2 per cell]
3 Li 0.000 0.000 0.694 [2 per cell]
4 Ag 0.500 0.000 0.583 [2 per cell]

As for the relative energy among the computed polymorphs: 0.000 eV per atom. As for the formation energy: -0.09 eV/atom.